1.
Compound: CsRbAu3
Source: Alexandria via LeMat-Bulk
Functional: PBE
Structure: optimized geometry

Computed properties:
- VASP energy (eV per atom) = -1.940
- DOS at the Fermi energy (states/eV/atom) = 1.312
- M_tot (μB/atom) = 0.2000
- formation energy from the elements (eV/f.u.) = 2.0

The structure in POSCAR format:
```
CsRbAu3
1.0
6.375 0.000 0.000
0.000 6.375 0.000
0.000 0.000 6.375
Cs Rb Au
1 1 3
Direct
0.000 0.000 0.000 Cs
0.500 0.500 0.500 Rb
0.000 0.500 0.500 Au
0.500 0.000 0.500 Au
0.500 0.500 0.000 Au
```

2.
Compound: AsRh
Source: Alexandria via LeMat-Bulk
Functional: PBE
Structure: optimized geometry

Computed properties:
- VASP energy (eV per atom) = -6.223
- DOS at the Fermi energy (states/eV/atom) = 0.628
- M_tot (μB/atom) = 0.0000
- formation energy from the elements (eV/f.u.) = -0.4

The structure in POSCAR format:
```
AsRh
1.0
-3.711 3.711 3.711
3.711 -3.711 3.711
3.711 3.711 -3.711
As Rh
4 4
Direct
0.000 0.000 0.633 As
0.000 0.633 0.000 As
0.367 0.367 0.367 As
0.633 0.000 0.000 As
0.000 0.000 0.271 Rh
0.000 0.271 0.000 Rh
0.271 0.000 0.000 Rh
0.729 0.729 0.729 Rh
```